# ErThCoI

ErThCoI after structural relaxation (PBE-GGA, Alexandria via LeMat-Bulk).

Unit cell a=4.0115 b=4.0242 c=8.3545 alpha=90.02 beta=103.92 gamma=120.05
Atoms (fractional coordinates):
Er (0.5179, 0.1571, 0.6890)
Th (0.0788, 0.9370, 0.0337)
Co (0.3068, 0.5513, 0.8725)
I (0.9745, 0.3854, 0.3744)

Summary:
**Calculated volume**: 112.1 Å³/cell
**Total magnetization**: 0.00 μB per formula unit
**Formation energy without anion corrections**: -2.37 eV/f.u.

# ErInCo

ErInCo after structural relaxation (PBE-GGA, Alexandria via LeMat-Bulk).

Unit cell a=3.2624 b=3.2624 c=6.0309 alpha=105.69 beta=105.69 gamma=90.00
Last column: magnetic moment on the atom in μB.
Atoms (fractional coordinates):
Er (0.0227, 0.0227, 0.0454)  -0.16
Co (0.6715, 0.6715, 0.3429)  0.69
In (0.3059, 0.3059, 0.6117)  -0.01

Summary:
**Calculated volume**: 59.3 Å³/cell
**Total magnetization**: 0.49 μB per formula unit
**E**: -14.939 eV per cell

# ErInCo

ErInCo after structural relaxation (PBE-GGA, Alexandria via LeMat-Bulk).

Unit cell a=4.5156 b=4.5156 c=4.5156 alpha=60.00 beta=60.00 gamma=60.00
Atoms (fractional coordinates):
In (0.5000, 0.5000, 0.5000)
Co (0.2500, 0.2500, 0.2500)
Er (0.0000, 0.0000, 0.0000)

Summary:
**Calculated volume**: 65.1 Å³/cell
**Total magnetization**: 0.00 μB per formula unit
**E**: -14.863 eV per cell

# Er3InCo

Er3InCo after structural relaxation (PBE-GGA, Alexandria via LeMat-Bulk).

Unit cell a=5.2897 b=6.3964 c=8.9704 alpha=68.76 beta=72.85 gamma=65.58
Atoms (fractional coordinates):
Er (0.8918, 0.9983, 0.2181)
Er (0.1082, 0.0017, 0.7819)
Er (0.6182, 0.6768, 0.0868)
Er (0.3818, 0.3232, 0.9132)
Er (0.8450, 0.6465, 0.6635)
Er (0.1550, 0.3535, 0.3365)
In (0.3918, 0.7687, 0.4476)
In (0.6082, 0.2313, 0.5524)
Co (0.1369, 0.6689, 0.0572)
Co (0.8631, 0.3311, 0.9428)

Summary:
**Calculated volume**: 253.8 Å³/cell
**Total magnetization**: 0.00 μB per formula unit
**E**: -49.655 eV per cell

# Er8InCo2

Er8InCo2 after structural relaxation (PBE-GGA, Alexandria via LeMat-Bulk).

Unit cell a=5.2336 b=7.8045 c=7.8045 alpha=113.12 beta=97.26 gamma=97.26
Atoms (fractional coordinates):
Er (0.9275, 0.9334, 0.6699)
Er (0.9275, 0.6699, 0.9334)
Er (0.3008, 0.6128, 0.6128)
Er (0.5000, 0.7487, 0.2513)
Er (0.5000, 0.2513, 0.7487)
Er (0.6992, 0.3872, 0.3872)
Er (0.0725, 0.3301, 0.0666)
Er (0.0725, 0.0666, 0.3301)
In (0.5000, 0.0000, 0.0000)
Co (0.0000, 0.3093, 0.6908)
Co (0.0000, 0.6908, 0.3093)

Summary:
**Calculated volume**: 285.3 Å³/cell
**Total magnetization**: 0.00 μB per formula unit
**E**: -55.085 eV per cell

# Er3InCo

Er3InCo after structural relaxation (PBE-GGA, Alexandria via LeMat-Bulk).

Unit cell a=3.8043 b=8.3405 c=8.5516 alpha=112.08 beta=90.00 gamma=90.00
Atoms (fractional coordinates):
Er (0.7500, 0.6833, 0.4252)
Er (0.2500, 0.3167, 0.5748)
Er (0.7500, 0.3276, 0.9046)
Er (0.2500, 0.9650, 0.7681)
Er (0.2500, 0.6724, 0.0954)
Er (0.7500, 0.0350, 0.2319)
In (0.2500, 0.3427, 0.2102)
In (0.7500, 0.6573, 0.7898)
Co (0.2500, 0.9344, 0.4162)
Co (0.7500, 0.0656, 0.5838)

Summary:
**Calculated volume**: 251.4 Å³/cell
**Total magnetization**: 0.00 μB per formula unit
**E**: -49.955 eV per cell

# Er7InCo2

Er7InCo2 after structural relaxation (PBE-GGA, Alexandria via LeMat-Bulk).

Unit cell a=4.9161 b=7.9325 c=7.9325 alpha=112.80 beta=90.00 gamma=90.00
Atoms (fractional coordinates):
Er (0.0000, 0.7077, 0.2923)
Er (0.0000, 0.2923, 0.7077)
Er (0.5000, 0.0516, 0.3161)
Er (0.5000, 0.9484, 0.6839)
Er (0.5000, 0.3161, 0.0516)
Er (0.5000, 0.6839, 0.9484)
Er (0.5000, 0.5000, 0.5000)
In (0.0000, 0.0000, 0.0000)
Co (0.5000, 0.7022, 0.2978)
Co (0.5000, 0.2978, 0.7022)

Summary:
**Calculated volume**: 285.2 Å³/cell
**Total magnetization**: 0.00 μB per formula unit
**E**: -49.488 eV per cell

# ErInCo

ErInCo after structural relaxation (PBE-GGA, Alexandria via LeMat-Bulk).

Unit cell a=4.5812 b=4.5793 c=7.5265 alpha=107.74 beta=90.00 gamma=120.01
Atoms (fractional coordinates):
Er (0.7475, 0.4950, 0.2429)
Er (0.2525, 0.5050, 0.7571)
In (0.5000, 0.0000, 0.5000)
In (0.0000, 0.0000, 0.0000)
Co (0.1259, 0.2518, 0.3780)
Co (0.8741, 0.7482, 0.6220)

Summary:
**Calculated volume**: 128.0 Å³/cell
**Total magnetization**: 0.01 μB per formula unit
**E**: -29.877 eV per cell

# Er4InCo

Er4InCo after structural relaxation (PBE-GGA, Alexandria via LeMat-Bulk).

Unit cell a=4.7710 b=4.7730 c=7.3410 alpha=89.85 beta=89.93 gamma=90.00
Atoms (fractional coordinates):
Er (0.5009, 0.9963, 0.2820)
Er (0.5017, 0.9982, 0.7143)
Er (0.0017, 0.4981, 0.7142)
Er (0.0008, 0.4965, 0.2820)
In (0.5014, 0.4972, 0.9982)
Co (0.0013, 0.9973, 0.4981)

Summary:
**Calculated volume**: 167.2 Å³/cell
**Total magnetization**: 0.00 μB per formula unit
**E**: -28.544 eV per cell

# Er2InCo

Er2InCo after structural relaxation (PBE-GGA, Alexandria via LeMat-Bulk).

Unit cell a=3.6440 b=4.9681 c=4.9681 alpha=90.00 beta=90.00 gamma=90.00
Last column: magnetic moment on the atom in μB.
Atoms (fractional coordinates):
In (0.5000, 0.0000, 0.0000)  0.00
Co (0.5000, 0.5000, 0.5000)  1.17
Er (0.0000, 0.0000, 0.5000)  -0.20
Er (0.0000, 0.5000, 0.0000)  -0.20

Summary:
**Calculated volume**: 89.9 Å³/cell
**Total magnetization**: 0.64 μB per formula unit
**E**: -19.785 eV per cell

# Er11In9Co4

Er11In9Co4 after structural relaxation (PBE-GGA, Alexandria via LeMat-Bulk).

Unit cell a=3.6095 b=12.8832 c=12.8832 alpha=112.50 beta=90.00 gamma=90.00
Atoms (fractional coordinates):
Er (0.0000, 0.5820, 0.9165)
Er (0.0000, 0.4180, 0.0835)
Er (0.0000, 0.9165, 0.5820)
Er (0.0000, 0.0835, 0.4180)
Er (0.0000, 0.6249, 0.3751)
Er (0.0000, 0.3751, 0.6249)
Er (0.0000, 0.8389, 0.1611)
Er (0.0000, 0.1611, 0.8389)
Er (0.0000, 0.0000, 0.0000)
Er (0.0000, 0.6860, 0.6860)
Er (0.0000, 0.3140, 0.3140)
In (0.5000, 0.6312, 0.1581)
In (0.5000, 0.3688, 0.8419)
In (0.5000, 0.1581, 0.6312)
In (0.5000, 0.8419, 0.3688)
In (0.5000, 0.7796, 0.9217)
In (0.5000, 0.2204, 0.0783)
In (0.5000, 0.9217, 0.7796)
In (0.5000, 0.0783, 0.2204)
In (0.5000, 0.5000, 0.5000)
Co (0.5000, 0.5500, 0.7518)
Co (0.5000, 0.4500, 0.2482)
Co (0.5000, 0.7518, 0.5500)
Co (0.5000, 0.2482, 0.4500)

Summary:
**Calculated volume**: 553.5 Å³/cell
**Total magnetization**: 0.00 μB per formula unit
**E**: -113.858 eV per cell

# Er12InCo6

Er12InCo6 after structural relaxation (PBE-GGA, Alexandria via LeMat-Bulk).

Unit cell a=8.2788 b=8.2788 c=8.2788 alpha=109.47 beta=109.47 gamma=109.47
Atoms (fractional coordinates):
Er (0.3020, 0.1084, 0.8063)
Er (0.3020, 0.4957, 0.1937)
Er (0.6980, 0.5043, 0.8063)
Er (0.6980, 0.8916, 0.1937)
Er (0.1084, 0.8063, 0.3020)
Er (0.4957, 0.1937, 0.3020)
Er (0.5043, 0.8063, 0.6980)
Er (0.8916, 0.1937, 0.6980)
Er (0.8063, 0.3020, 0.1084)
Er (0.1937, 0.3020, 0.4957)
Er (0.8063, 0.6980, 0.5043)
Er (0.1937, 0.6980, 0.8916)
In (0.0000, 0.0000, 0.0000)
Co (0.3862, 0.5000, 0.8862)
Co (0.6138, 0.5000, 0.1138)
Co (0.5000, 0.8862, 0.3862)
Co (0.5000, 0.1138, 0.6138)
Co (0.8862, 0.3862, 0.5000)
Co (0.1138, 0.6138, 0.5000)

Summary:
**Calculated volume**: 436.8 Å³/cell
**Total magnetization**: 0.00 μB per formula unit
**E**: -105.323 eV per cell

# Er4InCo

Er4InCo after structural relaxation (PBE-GGA, Alexandria via LeMat-Bulk).

Unit cell a=9.4512 b=9.4512 c=9.4512 alpha=60.00 beta=60.00 gamma=60.00
Atoms (fractional coordinates):
Er (0.4033, 0.4033, 0.4033)
Er (0.7901, 0.4033, 0.4033)
Er (0.4033, 0.7901, 0.4033)
Er (0.4033, 0.4033, 0.7901)
Er (0.5607, 0.5607, 0.9393)
Er (0.9393, 0.9393, 0.5607)
Er (0.5607, 0.9393, 0.5607)
Er (0.9393, 0.5607, 0.9393)
Er (0.9393, 0.5607, 0.5607)
Er (0.5607, 0.9393, 0.9393)
Er (0.1897, 0.1897, 0.8103)
Er (0.8103, 0.8103, 0.1897)
Er (0.1897, 0.8103, 0.1897)
Er (0.8103, 0.1897, 0.8103)
Er (0.8103, 0.1897, 0.1897)
Er (0.1897, 0.8103, 0.8103)
In (0.1672, 0.1672, 0.1672)
In (0.4984, 0.1672, 0.1672)
In (0.1672, 0.4984, 0.1672)
In (0.1672, 0.1672, 0.4984)
Co (0.6096, 0.6096, 0.6096)
Co (0.1712, 0.6096, 0.6096)
Co (0.6096, 0.1712, 0.6096)
Co (0.6096, 0.6096, 0.1712)

Summary:
**Calculated volume**: 597.0 Å³/cell
**Total magnetization**: 0.00 μB per formula unit
**E**: -120.115 eV per cell

# Er4In2Co

Er4In2Co after structural relaxation (PBE-GGA, Alexandria via LeMat-Bulk).

Unit cell a=4.9123 b=4.9123 c=8.7906 alpha=106.22 beta=106.22 gamma=90.00
Atoms (fractional coordinates):
In (0.6369, 0.6369, 0.2737)
In (0.3631, 0.3631, 0.7263)
Co (0.0000, 0.0000, 0.0000)
Er (0.8285, 0.8285, 0.6570)
Er (0.1715, 0.1715, 0.3430)
Er (0.0000, 0.5000, 0.0000)
Er (0.5000, 0.0000, 0.0000)

Summary:
**Calculated volume**: 194.9 Å³/cell
**Total magnetization**: 0.00 μB per formula unit
**E**: -31.985 eV per cell

# Er2InCo

Er2InCo after structural relaxation (PBE-GGA, Alexandria via LeMat-Bulk).

Unit cell a=3.3353 b=3.3353 c=7.9464 alpha=90.00 beta=90.00 gamma=90.00
Last column: magnetic moment on the atom in μB.
Atoms (fractional coordinates):
In (0.5000, 0.5000, 0.5000)  0.02
Co (0.5000, 0.5000, 0.0000)  0.65
Er (0.0000, 0.0000, 0.7947)  -0.12
Er (0.0000, 0.0000, 0.2053)  -0.12

Summary:
**Calculated volume**: 88.4 Å³/cell
**Total magnetization**: 0.42 μB per formula unit
**E**: -20.329 eV per cell

# Er3In2Co

Er3In2Co after structural relaxation (PBE-GGA, Alexandria via LeMat-Bulk).

Unit cell a=5.0630 b=7.0741 c=9.3298 alpha=112.26 beta=105.74 gamma=90.00
Atoms (fractional coordinates):
Er (0.4991, 0.2500, 0.0000)
Er (0.5009, 0.7500, 0.0000)
Er (0.1252, 0.1253, 0.2503)
Er (0.8748, 0.3747, 0.7497)
Er (0.1252, 0.6253, 0.2503)
Er (0.8748, 0.8747, 0.7497)
In (0.6971, 0.4475, 0.3941)
In (0.6971, 0.9475, 0.3941)
In (0.3029, 0.0525, 0.6059)
In (0.3029, 0.5525, 0.6059)
Co (0.0010, 0.7500, 0.0000)
Co (0.9990, 0.2500, 0.0000)

Summary:
**Calculated volume**: 295.7 Å³/cell
**Total magnetization**: 0.00 μB per formula unit
**E**: -56.282 eV per cell

# Er2In8Co

Er2In8Co after structural relaxation (PBE-GGA, Alexandria via LeMat-Bulk).

Unit cell a=4.5801 b=4.5801 c=12.1340 alpha=90.00 beta=90.00 gamma=90.00
Atoms (fractional coordinates):
Er (0.0000, 0.0000, 0.3069)
Er (0.0000, 0.0000, 0.6931)
In (0.0000, 0.5000, 0.5000)
In (0.5000, 0.0000, 0.5000)
In (0.5000, 0.5000, 0.3082)
In (0.5000, 0.5000, 0.6918)
In (0.0000, 0.5000, 0.1193)
In (0.5000, 0.0000, 0.1193)
In (0.0000, 0.5000, 0.8807)
In (0.5000, 0.0000, 0.8807)
Co (0.0000, 0.0000, 0.0000)

Summary:
**Calculated volume**: 254.5 Å³/cell
**Total magnetization**: 0.00 μB per formula unit
**E**: -41.182 eV per cell

# ErInCo

ErInCo after structural relaxation (PBE-GGA, Alexandria via LeMat-Bulk).

Unit cell a=3.8967 b=7.4368 c=12.3602 alpha=90.00 beta=90.00 gamma=90.00
Last column: magnetic moment on the atom in μB.
Atoms (fractional coordinates):
Er (0.0000, 0.2283, 0.9550)  -0.04
Er (0.0000, 0.7717, 0.0450)  -0.04
Er (0.0000, 0.2283, 0.5450)  -0.04
Er (0.0000, 0.7717, 0.4550)  -0.04
Er (0.0000, 0.1449, 0.2500)  -0.05
Er (0.0000, 0.8551, 0.7500)  -0.05
In (0.5000, 0.4249, 0.1216)  0.00
In (0.5000, 0.5751, 0.8784)  0.00
In (0.5000, 0.4249, 0.3784)  0.00
In (0.5000, 0.5751, 0.6216)  0.00
In (0.5000, 0.8073, 0.2500)  -0.01
In (0.5000, 0.1927, 0.7500)  -0.01
Co (0.5000, 0.0519, 0.0861)  0.27
Co (0.5000, 0.9481, 0.9139)  0.27
Co (0.5000, 0.0519, 0.4139)  0.27
Co (0.5000, 0.9481, 0.5861)  0.27
Co (0.0000, 0.5560, 0.2500)  -0.14
Co (0.0000, 0.4440, 0.7500)  -0.14

Summary:
**Calculated volume**: 358.2 Å³/cell
**Total magnetization**: 0.07 μB per formula unit
**E**: -92.462 eV per cell

# Er3InCo2

Er3InCo2 after structural relaxation (PBE-GGA, Alexandria via LeMat-Bulk).

Unit cell a=3.2881 b=3.2881 c=11.5805 alpha=90.00 beta=90.00 gamma=90.00
Last column: magnetic moment on the atom in μB.
Atoms (fractional coordinates):
Er (0.0000, 0.0000, 0.0000)  -0.20
Er (0.0000, 0.0000, 0.7133)  -0.14
Er (0.0000, 0.0000, 0.2867)  -0.14
In (0.5000, 0.5000, 0.5000)  0.01
Co (0.5000, 0.5000, 0.8519)  0.62
Co (0.5000, 0.5000, 0.1481)  0.62

Summary:
**Calculated volume**: 125.2 Å³/cell
**Total magnetization**: 0.72 μB per formula unit
**E**: -32.402 eV per cell

# Er5InCo2

Er5InCo2 after structural relaxation (PBE-GGA, Alexandria via LeMat-Bulk).

Unit cell a=7.5477 b=7.5477 c=8.5635 alpha=116.15 beta=116.15 gamma=90.00
Atoms (fractional coordinates):
Er (0.5302, 0.7087, 0.7389)
Er (0.7913, 0.9698, 0.2611)
Er (0.0000, 0.0000, 0.0000)
Er (0.5000, 0.5000, 0.0000)
Er (0.2087, 0.0302, 0.7389)
Er (0.7087, 0.2087, 0.7389)
Er (0.0302, 0.5302, 0.7389)
Er (0.2913, 0.7913, 0.2611)
Er (0.9698, 0.4698, 0.2611)
Er (0.4698, 0.2913, 0.2611)
In (0.7500, 0.7500, 0.5000)
In (0.2500, 0.2500, 0.5000)
Co (0.1343, 0.3657, 0.0000)
Co (0.6343, 0.1343, 0.0000)
Co (0.3657, 0.8657, 0.0000)
Co (0.8657, 0.6343, 0.0000)

Summary:
**Calculated volume**: 381.5 Å³/cell
**Total magnetization**: 0.00 μB per formula unit
**E**: -83.998 eV per cell

# Er4InCo2

Er4InCo2 after structural relaxation (PBE-GGA, Alexandria via LeMat-Bulk).

Unit cell a=4.5846 b=4.5846 c=9.6387 alpha=76.24 beta=76.24 gamma=60.00
Atoms (fractional coordinates):
Er (0.3936, 0.3936, 0.8191)
Er (0.2011, 0.2011, 0.3967)
Er (0.7989, 0.7989, 0.6033)
Er (0.6064, 0.6064, 0.1809)
In (0.0000, 0.0000, 0.0000)
Co (0.0959, 0.0959, 0.7123)
Co (0.9041, 0.9041, 0.2877)

Summary:
**Calculated volume**: 168.7 Å³/cell
**Total magnetization**: 0.00 μB per formula unit
**E**: -36.106 eV per cell

# Er5InCo

Er5InCo after structural relaxation (PBE-GGA, Alexandria via LeMat-Bulk).

Unit cell a=6.4257 b=6.4257 c=11.0959 alpha=72.32 beta=72.32 gamma=63.22
Atoms (fractional coordinates):
Er (0.9729, 0.6003, 0.1362)
Er (0.1991, 0.5575, 0.5445)
Er (0.6003, 0.9729, 0.6362)
Er (0.9792, 0.0208, 0.2500)
Er (0.4425, 0.8009, 0.9555)
Er (0.5575, 0.1991, 0.0445)
Er (0.0208, 0.9792, 0.7500)
Er (0.3997, 0.0271, 0.3638)
Er (0.8009, 0.4425, 0.4555)
Er (0.0271, 0.3997, 0.8638)
In (0.4720, 0.5280, 0.2500)
In (0.5280, 0.4720, 0.7500)
Co (0.0000, 0.0000, 0.0000)
Co (0.0000, 0.0000, 0.5000)

Summary:
**Calculated volume**: 382.1 Å³/cell
**Total magnetization**: 0.00 μB per formula unit
**E**: -66.694 eV per cell